(1)
SrBeOs after structural relaxation, computed with PBE.

Cell lengths 3.9068, 3.9068, 4.6227 Å; angles 90.00, 90.00, 120.00 degrees
Last column: nearest neighbours and their distance in Å.
Positions (direct):
Sr 0.6667 0.3333 0.6667  6 Os 3.23, 6 Be 3.23
Os 0.3333 0.6667 0.1666  3 Be 2.26
Be 0.0000 0.0000 0.1667  3 Os 2.26

mass density: 7.80 Mg/m³
offset from the most stable computed form: 374 meV per atom
formation enthalpy at 0 K: 0.4639 eV/atom
total magnetic moment: 0.0000 μB/atom
symmetry: P-6m2 (187)

(2)
CsNbGe2Pd after structural relaxation, computed with PBE.

Cell lengths 5.1962, 5.1431, 5.1962 Å; angles 90.00, 90.00, 90.00 degrees
Last column: nearest neighbours and their distance in Å.
Positions (direct):
Nb 0.0000 0.0000 0.0000  2 Pd 2.57, 4 Ge 2.60
Ge 0.5000 0.0000 0.0000  2 Nb 2.60
Pd 0.0000 0.5000 0.0000  2 Nb 2.57
Cs 0.5000 0.5000 0.5000  8 Ge 3.66, 4 Pd 3.67
Ge 0.0000 0.0000 0.5000  2 Nb 2.60

mass density: 5.71 Mg/m³
formation enthalpy at 0 K: 0.3624 eV/atom
total magnetic moment: 0.0120 μB/atom
symmetry: P4/mmm (123)